No. 1
Below is a relaxed Rb2HgRhCl6 crystal, with properties calculated at the PBE level.

## Properties
- Total DFT energy (no corrections): -3.165 eV/atom
- Crystal system: tetragonal
- Symmetry: I4/mmm (139)

Cell lengths 7.287, 7.289, 10.349 Å; angles 90.00, 90.00, 90.00 degrees
Fractional coordinates of all 20 atoms:
Rb 0.500 0.750 0.250
Rb 0.000 0.250 0.750
Rb 0.500 0.750 0.750
Rb 0.000 0.250 0.250
Hg 0.000 0.750 0.500
Hg 0.500 0.250 0.000
Rh 0.500 0.250 0.500
Rh 0.000 0.750 0.000
Cl 0.500 0.250 0.268
Cl 0.500 0.250 0.732
Cl 0.000 0.750 0.232
Cl 0.000 0.750 0.768
Cl 0.266 0.017 0.500
Cl 0.734 0.017 0.500
Cl 0.267 0.484 0.500
Cl 0.733 0.484 0.500
Cl 0.767 0.516 0.000
Cl 0.233 0.516 0.000
Cl 0.234 0.983 0.000
Cl 0.766 0.983 0.000

=====

No. 2
Below is a relaxed MnNiP2 crystal, with properties calculated at the PBE level.

## Properties
- Formation enthalpy at 0 K: -273 meV per atom
- Crystal system: monoclinic
- Symmetry: Cm (8)

Cell lengths 4.097, 4.097, 4.272 Å; angles 77.21, 77.21, 44.60 degrees
Site moments in Bohr magnetons follow the coordinates.
Fractional coordinates of all 4 atoms:
Mn 0.479 0.479 0.632  0.82
Ni 0.257 0.257 0.222  0.03
P 0.995 0.995 0.034  -0.01
P 0.770 0.770 0.612  -0.03

=====

No. 3
Below is a relaxed TaAs2PbBr crystal, with properties calculated at the PBE level.

## Properties
- E above lowest polymorph: 1.445 eV per atom
- Crystal system: tetragonal
- Symmetry: P4/mmm (123)

Cell lengths 5.331, 5.331, 5.421 Å; angles 90.00, 90.00, 90.00 degrees
Site moments in Bohr magnetons follow the coordinates.
Fractional coordinates of all 5 atoms:
Pb 0.000 0.000 0.000  0.00
As 0.000 0.500 0.000  -0.21
As 0.500 0.000 0.000  -0.21
Br 0.000 0.000 0.500  -0.07
Ta 0.500 0.500 0.500  1.96

=====

No. 4
Below is a relaxed Ca5IrO6 crystal, with properties calculated at the PBE level.

## Properties
- Total DFT energy (no corrections): -6.407 eV/atom
- Crystal system: monoclinic
- Symmetry: C2/m (12)

Cell lengths 5.758, 5.792, 5.858 Å; angles 60.37, 81.29, 72.16 degrees
Site moments in Bohr magnetons follow the coordinates.
Fractional coordinates of all 12 atoms:
Ca 0.500 0.162 0.675  0.01
Ca 0.000 0.330 0.340  0.00
Ca 0.500 0.500 0.000  0.00
Ca 0.000 0.670 0.660  0.00
Ca 0.500 0.838 0.325  0.01
Ir 0.000 0.000 0.000  0.77
O 0.742 0.090 0.336  0.05
O 0.258 0.574 0.336  0.05
O 0.234 0.238 0.000  -0.01
O 0.766 0.762 0.000  -0.01
O 0.742 0.426 0.664  0.05
O 0.258 0.910 0.664  0.05

=====

No. 5
Below is a relaxed Pm4Y5Tl2 crystal, with properties calculated at the PBE level.

## Properties
- Formation enthalpy at 0 K: 227 meV per atom
- Crystal system: trigonal
- Symmetry: R-3m (166)

Cell lengths 5.261, 5.261, 16.321 Å; angles 80.72, 80.72, 60.00 degrees
Site moments in Bohr magnetons follow the coordinates.
Fractional coordinates of all 11 atoms:
Pm 0.725 0.725 0.826  0.00
Pm 0.573 0.573 0.280  0.00
Pm 0.427 0.427 0.720  0.00
Pm 0.275 0.275 0.174  0.00
Y 0.801 0.801 0.596  0.07
Y 0.648 0.648 0.055  0.00
Y 0.500 0.500 0.500  0.16
Y 0.352 0.352 0.945  0.00
Y 0.199 0.199 0.404  0.07
Tl 0.125 0.125 0.626  0.00
Tl 0.875 0.875 0.374  0.00

=====

No. 6
Below is a relaxed MgSbTe2Ru crystal, with properties calculated at the PBE level.

## Properties
- E above lowest polymorph: 0.000 eV per atom
- Crystal system: tetragonal
- Symmetry: P4/mmm (123)

Cell lengths 5.410, 5.410, 4.953 Å; angles 90.00, 90.00, 90.00 degrees
Fractional coordinates of all 5 atoms:
Sb 0.000 0.000 0.500
Mg 0.500 0.500 0.500
Te 0.000 0.500 0.000
Te 0.500 0.000 0.000
Ru 0.000 0.000 0.000

=====

No. 7
Below is a relaxed BeAsBr2F crystal, with properties calculated at the PBE level.

## Properties
- E above lowest polymorph: 0.000 eV per atom
- Crystal system: tetragonal
- Symmetry: P4/mmm (123)

Cell lengths 4.618, 4.618, 4.660 Å; angles 90.00, 90.00, 90.00 degrees
Fractional coordinates of all 5 atoms:
Be 0.000 0.000 0.000
As 0.000 0.000 0.500
Br 0.000 0.500 0.000
Br 0.500 0.000 0.000
F 0.500 0.500 0.500

=====

No. 8
Below is a relaxed CaZnSiIr crystal, with properties calculated at the PBE level.

## Properties
- Total DFT energy (no corrections): -4.939 eV/atom
- Crystal system: trigonal
- Symmetry: R3m (160)

Cell lengths 4.170, 4.170, 5.804 Å; angles 68.95, 68.95, 60.00 degrees
Fractional coordinates of all 4 atoms:
Ca 0.816 0.816 0.553
Zn 0.017 0.017 0.948
Si 0.274 0.274 0.179
Ir 0.619 0.619 0.142

=====

Copy entry 8 word for word.
Below is a relaxed CaZnSiIr crystal, with properties calculated at the PBE level.

## Properties
- Total DFT energy (no corrections): -4.939 eV/atom
- Crystal system: trigonal
- Symmetry: R3m (160)

Cell lengths 4.170, 4.170, 5.804 Å; angles 68.95, 68.95, 60.00 degrees
Fractional coordinates of all 4 atoms:
Ca 0.816 0.816 0.553
Zn 0.017 0.017 0.948
Si 0.274 0.274 0.179
Ir 0.619 0.619 0.142